1.
# PBE-GGA Ti2ZnNiB, relaxed
# - total DFT energy (no corrections) (eV/atom) = -4.53
data_Ti2ZnNiB
_symmetry_space_group_name_H-M 'P 4/m m m'
_symmetry_Int_Tables_number 123
_symmetry_space_group_name_Hall '-P 4 2'
_cell_length_a 4.565
_cell_length_b 4.565
_cell_length_c 4.192
_cell_angle_alpha 90.00
_cell_angle_beta 90.00
_cell_angle_gamma 90.00
loop_
_atom_site_label
_atom_site_type_symbol
_atom_site_fract_x
_atom_site_fract_y
_atom_site_fract_z
_atom_site_occupancy
Ti1 Ti 0.000 0.500 0.000 1
Zn1 Zn 0.000 0.000 0.000 1
Ni1 Ni 0.000 0.000 0.500 1
B1 B 0.500 0.500 0.500 1

2.
# PBE-GGA TlNi2B, relaxed
# - total DFT energy (no corrections) (eV/atom) = -4.36
data_TlNi2B
_symmetry_space_group_name_H-M 'F m -3 m'
_symmetry_Int_Tables_number 225
_symmetry_space_group_name_Hall '-F 4 2 3'
_cell_length_a 5.907
_cell_length_b 5.907
_cell_length_c 5.907
_cell_angle_alpha 90.00
_cell_angle_beta 90.00
_cell_angle_gamma 90.00
loop_
_atom_site_label
_atom_site_type_symbol
_atom_site_fract_x
_atom_site_fract_y
_atom_site_fract_z
_atom_site_occupancy
Tl1 Tl 0.000 0.000 0.000 1
Ni1 Ni 0.250 0.250 0.250 1
B1 B 0.000 0.000 0.500 1

3.
# PBE-GGA TlNi2B, relaxed
# - total DFT energy (no corrections) (eV/atom) = -4.75
data_TlNi2B
_symmetry_space_group_name_H-M 'I -4 2 d'
_symmetry_Int_Tables_number 122
_symmetry_space_group_name_Hall 'I -4 2bw'
_cell_length_a 4.618
_cell_length_b 4.618
_cell_length_c 12.284
_cell_angle_alpha 90.00
_cell_angle_beta 90.00
_cell_angle_gamma 90.00
loop_
_atom_site_label
_atom_site_type_symbol
_atom_site_fract_x
_atom_site_fract_y
_atom_site_fract_z
_atom_site_occupancy
Tl1 Tl 0.000 0.000 0.000 1
Ni1 Ni 0.034 0.250 0.625 1
B1 B 0.000 0.000 0.500 1

Density of states at the Fermi level
In order: 6.83, 8.61, 9.90
Unit: states/eV/cell